Entry 1:
Ba6Sn2P | PBE | optimized geometry

Cell lengths 8.067, 9.047, 14.231 Å; angles 90.00, 124.28, 90.00 degrees
Element x y z (fractional)
Ba (0.122, 0.176, 0.437)
Ba (0.122, 0.324, 0.937)
Ba (0.273, 0.694, 0.444)
Ba (0.273, 0.806, 0.944)
Ba (0.361, 0.040, 0.250)
Ba (0.361, 0.460, 0.750)
Ba (0.639, 0.540, 0.250)
Ba (0.639, 0.960, 0.750)
Ba (0.727, 0.194, 0.056)
Ba (0.727, 0.306, 0.556)
Ba (0.878, 0.676, 0.063)
Ba (0.878, 0.824, 0.563)
Sn (0.224, 0.089, 0.755)
Sn (0.224, 0.411, 0.255)
Sn (0.776, 0.589, 0.745)
Sn (0.776, 0.911, 0.245)
P (0.500, 0.000, 0.500)
P (0.500, 0.500, 0.000)

Values from the calculation:
energy of formation from the pure elements: -0.64 eV/atom
total magnetization: 1.8 μB per cell
volume: 47.68 Å³/atom
relative energy among the computed polymorphs: 0.0 meV per atom
calculated density: 4.2 Mg/m³
density of states at the Fermi level: 9.6 states/eV/cell

Entry 2:
TbY2Rh | PBE | optimized geometry

Cell lengths 7.187, 9.504, 6.375 Å; angles 90.00, 90.00, 90.00 degrees
Element x y z (fractional)
Tb (0.036, 0.250, 0.139)
Tb (0.464, 0.750, 0.639)
Tb (0.536, 0.250, 0.361)
Tb (0.964, 0.750, 0.861)
Y (0.177, 0.064, 0.673)
Y (0.177, 0.436, 0.673)
Y (0.323, 0.564, 0.173)
Y (0.323, 0.936, 0.173)
Y (0.677, 0.064, 0.827)
Y (0.677, 0.436, 0.827)
Y (0.823, 0.564, 0.327)
Y (0.823, 0.936, 0.327)
Rh (0.118, 0.750, 0.450)
Rh (0.382, 0.250, 0.950)
Rh (0.618, 0.750, 0.050)
Rh (0.882, 0.250, 0.550)

Values from the calculation:
energy of formation from the pure elements: -0.51 eV/atom
total magnetization: 0.0 μB per cell
volume: 27.22 Å³/atom
relative energy among the computed polymorphs: 0.0 meV per atom
calculated density: 6.7 Mg/m³
density of states at the Fermi level: 19.9 states/eV/cell

Entry 3:
Si3Hg | PBE | optimized geometry

Cell lengths 3.767, 5.540, 7.934 Å; angles 90.00, 90.00, 90.00 degrees
Element x y z (fractional)
Si (0.250, 0.036, 0.106)
Si (0.250, 0.250, 0.809)
Si (0.250, 0.464, 0.106)
Si (0.750, 0.536, 0.894)
Si (0.750, 0.750, 0.191)
Si (0.750, 0.964, 0.894)
Hg (0.250, 0.750, 0.552)
Hg (0.750, 0.250, 0.448)

Values from the calculation:
energy relative to the elements, uncorrected: 402 meV/atom
total magnetization: 0.0 μB per cell
volume: 20.70 Å³/atom
relative energy among the computed polymorphs: 0.0 meV per atom
calculated density: 5.7 Mg/m³
density of states at the Fermi level: 1.7 states/eV/cell

Entry 4:
YHoMgAu | PBE | optimized geometry

Cell lengths 3.698, 3.698, 7.274 Å; angles 90.00, 90.00, 90.00 degrees
Element x y z (fractional)
Y (0.000, 0.000, 0.000)
Ho (0.000, 0.000, 0.470)
Mg (0.500, 0.500, 0.733)
Au (0.500, 0.500, 0.244)

Values from the calculation:
energy of formation from the pure elements: -0.48 eV/atom
total magnetization: 0.0 μB per cell
volume: 24.87 Å³/atom
relative energy among the computed polymorphs: 0.0 meV per atom
calculated density: 7.9 Mg/m³
density of states at the Fermi level: 3.4 states/eV/cell

Entry 5:
SrCe2YS4 | PBE | optimized geometry

Cell lengths 7.025, 4.033, 7.073 Å; angles 90.00, 109.07, 90.00 degrees
Element x y z (fractional)
Sr (0.000, 0.000, 0.000)
Ce (0.000, 0.500, 0.500)
Ce (0.500, 0.000, 0.500)
Y (0.500, 0.500, 0.000)
S (0.260, 0.500, 0.251)
S (0.261, 0.000, 0.756)
S (0.739, 0.000, 0.244)
S (0.740, 0.500, 0.749)

Values from the calculation:
energy relative to the elements, uncorrected: -1997 meV/atom
total magnetization: 2.2 μB per cell
volume: 23.67 Å³/atom
calculated density: 5.1 Mg/m³
density of states at the Fermi level: 12.0 states/eV/cell

Entry 6:
Cr3Co8Ni2 | PBE | optimized geometry

Cell lengths 9.175, 9.175, 9.175 Å; angles 28.70, 28.70, 28.70 degrees
Element x y z (fractional)
Cr (0.000, 0.000, 0.000)
Cr (0.184, 0.184, 0.184)
Cr (0.816, 0.816, 0.816)
Co (0.230, 0.731, 0.731)
Co (0.269, 0.269, 0.770)
Co (0.269, 0.770, 0.269)
Co (0.273, 0.273, 0.273)
Co (0.727, 0.727, 0.727)
Co (0.731, 0.230, 0.731)
Co (0.731, 0.731, 0.230)
Co (0.770, 0.269, 0.269)
Ni (0.359, 0.359, 0.359)
Ni (0.641, 0.641, 0.641)

Values from the calculation:
energy of formation from the pure elements: 0.33 eV/atom
total magnetization: 11.3 μB per cell
volume: 12.11 Å³/atom
calculated density: 7.9 Mg/m³
density of states at the Fermi level: 18.4 states/eV/cell

Entry 7:
RbPmAs2 | PBE | optimized geometry

Cell lengths 4.513, 4.513, 23.322 Å; angles 90.00, 90.00, 120.00 degrees
Element x y z (fractional)
Rb (0.000, 0.000, 0.000)
Rb (0.333, 0.667, 0.667)
Rb (0.667, 0.333, 0.333)
Pm (0.000, 0.000, 0.500)
Pm (0.333, 0.667, 0.167)
Pm (0.667, 0.333, 0.833)
As (0.000, 0.000, 0.227)
As (0.000, 0.000, 0.773)
As (0.333, 0.667, 0.440)
As (0.333, 0.667, 0.893)
As (0.667, 0.333, 0.107)
As (0.667, 0.333, 0.560)

Values from the calculation:
energy of formation from the pure elements: -0.59 eV/atom
total magnetization: 0.0 μB per cell
volume: 34.27 Å³/atom
relative energy among the computed polymorphs: 227.0 meV per atom
calculated density: 4.6 Mg/m³
density of states at the Fermi level: 13.0 states/eV/cell

Entry 8:
AcAs4Rh6 | PBE | optimized geometry

Cell lengths 7.288, 7.288, 3.968 Å; angles 90.00, 90.00, 120.00 degrees
Element x y z (fractional)
Ac (0.000, 0.000, 0.000)
As (0.195, 0.389, 0.500)
As (0.195, 0.805, 0.500)
As (0.611, 0.805, 0.500)
As (0.667, 0.333, 0.000)
Rh (0.067, 0.533, 0.000)
Rh (0.402, 0.201, 0.500)
Rh (0.467, 0.533, 0.000)
Rh (0.467, 0.933, 0.000)
Rh (0.799, 0.201, 0.500)
Rh (0.799, 0.598, 0.500)

Values from the calculation:
energy of formation from the pure elements: -0.67 eV/atom
total magnetization: 0.0 μB per cell
volume: 16.60 Å³/atom
calculated density: 10.4 Mg/m³
density of states at the Fermi level: 6.6 states/eV/cell

Entry 9:
TmHfTe | PBE | optimized geometry

Cell lengths 4.943, 4.943, 3.700 Å; angles 90.00, 90.00, 120.00 degrees
Element x y z (fractional)
Tm (0.000, 0.000, 0.000)
Hf (0.667, 0.333, 0.500)
Te (0.333, 0.667, 0.500)

Values from the calculation:
energy relative to the elements, uncorrected: -215 meV/atom
total magnetization: 0.0 μB per cell
volume: 26.10 Å³/atom
relative energy among the computed polymorphs: 468.9 meV per atom
calculated density: 10.1 Mg/m³
density of states at the Fermi level: 3.5 states/eV/cell

Entry 10:
CaIrRh2 | PBE | optimized geometry

Cell lengths 5.764, 7.850, 2.826 Å; angles 90.00, 90.00, 90.00 degrees
Element x y z (fractional)
Ca (0.000, 0.000, 0.000)
Ca (0.500, 0.500, 0.000)
Ir (0.000, 0.500, 0.000)
Ir (0.500, 0.000, 0.000)
Rh (0.250, 0.250, 0.500)
Rh (0.250, 0.750, 0.500)
Rh (0.750, 0.250, 0.500)
Rh (0.750, 0.750, 0.500)

Values from the calculation:
energy of formation from the pure elements: -0.08 eV/atom
total magnetization: 0.0 μB per cell
volume: 15.98 Å³/atom
relative energy among the computed polymorphs: 15.1 meV per atom
calculated density: 11.4 Mg/m³
density of states at the Fermi level: 8.8 states/eV/cell

Entry 11:
Cd3PI2 | PBE | optimized geometry

Cell lengths 9.143, 9.143, 6.838 Å; angles 90.00, 90.00, 45.32 degrees
Element x y z (fractional)
Cd (0.002, 0.998, 0.500)
Cd (0.151, 0.543, 0.754)
Cd (0.457, 0.849, 0.754)
Cd (0.543, 0.151, 0.254)
Cd (0.849, 0.457, 0.254)
Cd (0.998, 0.002, 0.000)
P (0.252, 0.748, 0.752)
P (0.748, 0.252, 0.252)
I (0.088, 0.575, 0.251)
I (0.425, 0.912, 0.251)
I (0.575, 0.088, 0.751)
I (0.912, 0.425, 0.751)

Values from the calculation:
energy relative to the elements, uncorrected: -175 meV/atom
total magnetization: 0.0 μB per cell
volume: 33.88 Å³/atom
calculated density: 5.1 Mg/m³
density of states at the Fermi level: 4.2 states/eV/cell

Entry 12:
Sm6Ho8Er | PBE | optimized geometry

Cell lengths 9.422, 9.422, 6.538 Å; angles 90.00, 90.00, 120.00 degrees
Element x y z (fractional)
Sm (0.087, 0.679, 0.096)
Sm (0.321, 0.408, 0.096)
Sm (0.408, 0.087, 0.904)
Sm (0.592, 0.913, 0.096)
Sm (0.679, 0.592, 0.904)
Sm (0.913, 0.321, 0.904)
Ho (0.021, 0.330, 0.397)
Ho (0.309, 0.979, 0.397)
Ho (0.330, 0.309, 0.603)
Ho (0.333, 0.667, 0.657)
Ho (0.667, 0.333, 0.343)
Ho (0.670, 0.691, 0.397)
Ho (0.691, 0.021, 0.603)
Ho (0.979, 0.670, 0.603)
Er (0.000, 0.000, 0.000)

Values from the calculation:
energy of formation from the pure elements: 0.24 eV/atom
total magnetization: 0.0 μB per cell
volume: 33.50 Å³/atom
relative energy among the computed polymorphs: 115.1 meV per atom
calculated density: 7.9 Mg/m³
density of states at the Fermi level: 22.0 states/eV/cell